# 1
Material: ZrSc4Al
Method: DFT, PBE
State: optimized geometry

Computed properties:
- space-group type = F-43m (216)
- polymorph energy (0 for the lowest one) (meV per atom) = 369
- calculated formation energy (eV per atom) = 0.2216
- uncorrected energy (eV/atom) = -6.0479

Cell lengths 5.7982, 5.7982, 5.7982 Å; angles 60.00, 60.00, 60.00 degrees
Sites, in units of the cell vectors:
Zr 0.0000 0.0000 0.0000
Sc 0.3741 0.3741 0.3741
Sc 0.3741 0.3741 0.8776
Sc 0.3741 0.8776 0.3741
Sc 0.8776 0.3741 0.3741
Al 0.7500 0.7500 0.7500

# 2
Material: TmMgRuRh
Method: DFT, PBE
State: optimized geometry

Computed properties:
- space-group type = F-43m (216)
- calculated formation energy (eV per atom) = -0.4353
- uncorrected energy (eV/atom) = -6.1086

Cell lengths 4.5914, 4.5914, 4.5914 Å; angles 60.00, 60.00, 60.00 degrees
Sites, in units of the cell vectors:
Tm 0.0000 0.0000 0.0000
Mg 0.5000 0.5000 0.5000
Ru 0.7500 0.7500 0.7500
Rh 0.2500 0.2500 0.2500

# 3
Material: CuRe2Hg
Method: DFT, PBE
State: optimized geometry

Computed properties:
- space-group type = P2/m (10)
- calculated formation energy (eV per atom) = 0.7190
- uncorrected energy (eV/atom) = -6.6046

Cell lengths 2.7084, 4.6895, 5.0902 Å; angles 90.00, 98.16, 90.00 degrees
Sites, in units of the cell vectors:
Cu 0.0000 0.0000 0.0000
Re 0.2821 0.5000 0.7693
Re 0.7179 0.5000 0.2307
Hg 0.5000 0.0000 0.5000

# 4
Material: Rb2PaHgSe5
Method: DFT, PBE
State: optimized geometry

Computed properties:
- space-group type = Cmc2_1 (36)
- uncorrected energy (eV/atom) = -4.2080

Cell lengths 10.6772, 10.6772, 14.3935 Å; angles 90.00, 90.00, 157.35 degrees
Sites, in units of the cell vectors:
Rb 0.1225 0.8775 0.5000
Rb 0.1328 0.8672 0.1297
Rb 0.8672 0.1328 0.6297
Rb 0.8775 0.1225 0.0000
Pa 0.2062 0.7938 0.8198
Pa 0.7938 0.2062 0.3198
Hg 0.4493 0.5507 0.2461
Hg 0.5507 0.4493 0.7461
Se 0.0706 0.9294 0.8586
Se 0.2954 0.7046 0.4489
Se 0.3035 0.6965 0.1891
Se 0.3329 0.6671 0.8187
Se 0.5004 0.4996 0.0886
Se 0.4996 0.5004 0.5886
Se 0.6671 0.3329 0.3187
Se 0.6965 0.3035 0.6891
Se 0.7046 0.2954 0.9489
Se 0.9294 0.0706 0.3586

# 5
Material: Sr3Cd6In5
Method: DFT, PBE
State: optimized geometry

Computed properties:
- space-group type = Pmmn (59)
- calculated formation energy (eV per atom) = -0.3058
- uncorrected energy (eV/atom) = -2.0363

Cell lengths 4.9630, 14.3947, 10.7663 Å; angles 90.00, 90.00, 90.00 degrees
Sites, in units of the cell vectors:
Sr 0.2500 0.0494 0.2482
Sr 0.2500 0.4506 0.2482
Sr 0.2500 0.7500 0.2477
Sr 0.7500 0.2500 0.7523
Sr 0.7500 0.5494 0.7518
Sr 0.7500 0.9506 0.7518
Cd 0.2500 0.0926 0.6140
Cd 0.2500 0.2500 0.0589
Cd 0.2500 0.2500 0.4359
Cd 0.2500 0.4074 0.6140
Cd 0.2500 0.6064 0.9734
Cd 0.2500 0.8936 0.9734
Cd 0.7500 0.1064 0.0266
Cd 0.7500 0.3936 0.0266
Cd 0.7500 0.5926 0.3860
Cd 0.7500 0.7500 0.5641
Cd 0.7500 0.7500 0.9411
Cd 0.7500 0.9074 0.3860
In 0.2500 0.0912 0.8830
In 0.2500 0.4088 0.8830
In 0.2500 0.6087 0.5304
In 0.2500 0.7500 0.7561
In 0.2500 0.8913 0.5304
In 0.7500 0.1087 0.4696
In 0.7500 0.2500 0.2439
In 0.7500 0.3913 0.4696
In 0.7500 0.5912 0.1170
In 0.7500 0.9088 0.1170

# 6
Material: Pr6Co2Pb
Method: DFT, PBE
State: optimized geometry

Computed properties:
- space-group type = Immm (71)
- calculated formation energy (eV per atom) = -0.1654
- uncorrected energy (eV/atom) = -5.3429

Cell lengths 8.7863, 8.7863, 8.7863 Å; angles 112.75, 108.38, 107.33 degrees
Sites, in units of the cell vectors:
Pr 0.0250 0.2322 0.7929
Pr 0.1841 0.2876 0.4717
Pr 0.1841 0.7124 0.8964
Pr 0.3233 0.0075 0.6843
Pr 0.3233 0.6390 0.3157
Pr 0.4393 0.2322 0.2072
Pr 0.5607 0.7678 0.7929
Pr 0.6767 0.3610 0.6843
Pr 0.6767 0.9925 0.3157
Pr 0.8159 0.2876 0.1036
Pr 0.8159 0.7124 0.5283
Pr 0.9750 0.7678 0.2072
Co 0.1086 0.6086 0.5000
Co 0.3499 0.0000 0.3499
Co 0.6501 0.0000 0.6501
Co 0.8914 0.3914 0.5000
Pb 0.0000 0.0000 0.0000
Pb 0.5000 0.5000 0.0000

# 7
Material: Na2ScTaAl
Method: DFT, PBE
State: optimized geometry

Computed properties:
- space-group type = P4/mmm (123)
- calculated formation energy (eV per atom) = 1.3882
- uncorrected energy (eV/atom) = -3.5248

Cell lengths 5.0835, 5.0835, 5.4495 Å; angles 90.00, 90.00, 90.00 degrees
Sites, in units of the cell vectors:
Na 0.0000 0.5000 0.0000
Na 0.5000 0.0000 0.0000
Sc 0.0000 0.0000 0.5000
Ta 0.5000 0.5000 0.5000
Al 0.0000 0.0000 0.0000

# 8
Material: Li2AcCdIn2
Method: DFT, PBE
State: optimized geometry

Computed properties:
- space-group type = P4/mmm (123)
- calculated formation energy (eV per atom) = -0.1747
- uncorrected energy (eV/atom) = -2.5627

Cell lengths 4.8817, 4.8817, 6.5284 Å; angles 90.00, 90.00, 90.00 degrees
Sites, in units of the cell vectors:
Li 0.0000 0.5000 0.0000
Li 0.5000 0.0000 0.0000
Ac 0.0000 0.0000 0.5000
Cd 0.0000 0.0000 0.0000
In 0.5000 0.5000 0.2651
In 0.5000 0.5000 0.7349

# 9
Material: Li2MgWN4
Method: DFT, PBE
State: optimized geometry

Computed properties:
- space-group type = I-4 (82)
- uncorrected energy (eV/atom) = -6.7297

Cell lengths 5.8231, 5.8231, 5.8231 Å; angles 131.90, 131.90, 70.38 degrees
Sites, in units of the cell vectors:
Li 0.0000 0.0000 0.0000
Li 0.7500 0.2500 0.5000
Mg 0.5000 0.5000 0.0000
W 0.2500 0.7500 0.5000
N 0.1446 0.6344 0.0475
N 0.3656 0.4132 0.5102
N 0.5868 0.0971 0.9525
N 0.9029 0.8554 0.4898

# 10
Material: Tb4Nd4Er
Method: DFT, PBE
State: optimized geometry

Computed properties:
- space-group type = C2/m (12)
- calculated formation energy (eV per atom) = 0.0161
- uncorrected energy (eV/atom) = -4.6678

Cell lengths 6.2377, 6.2377, 10.8352 Å; angles 106.63, 106.63, 48.36 degrees
Sites, in units of the cell vectors:
Tb 0.1663 0.1663 0.0543
Tb 0.1672 0.1672 0.7232
Tb 0.8328 0.8328 0.2768
Tb 0.8337 0.8337 0.9457
Nd 0.1669 0.1669 0.3894
Nd 0.4998 0.4998 0.1675
Nd 0.5002 0.5002 0.8325
Nd 0.8331 0.8331 0.6106
Er 0.5000 0.5000 0.5000

# 11
Material: BaUAu10
Method: DFT, PBE
State: optimized geometry

Computed properties:
- space-group type = Pmmm (47)
- calculated formation energy (eV per atom) = -0.2138
- uncorrected energy (eV/atom) = -4.0458

Cell lengths 4.7403, 5.6362, 9.8924 Å; angles 90.00, 90.00, 90.00 degrees
Sites, in units of the cell vectors:
Ba 0.0000 0.0000 0.0000
U 0.0000 0.5000 0.5000
Au 0.0000 0.0000 0.3433
Au 0.0000 0.0000 0.6567
Au 0.0000 0.5000 0.1817
Au 0.0000 0.5000 0.8183
Au 0.5000 0.0000 0.5000
Au 0.5000 0.2535 0.2569
Au 0.5000 0.2535 0.7431
Au 0.5000 0.5000 0.0000
Au 0.5000 0.7465 0.2569
Au 0.5000 0.7465 0.7431

# 12
Material: ZrNiTe2
Method: DFT, PBE
State: optimized geometry

Computed properties:
- space-group type = Cmmm (65)
- polymorph energy (0 for the lowest one) (meV per atom) = 487
- uncorrected energy (eV/atom) = -5.3916

Cell lengths 4.7761, 4.7761, 3.6149 Å; angles 90.00, 90.00, 90.16 degrees
Sites, in units of the cell vectors:
Zr 0.0000 0.0000 0.0000
Ni 0.5000 0.5000 0.0000
Te 0.0000 0.5000 0.5000
Te 0.5000 0.0000 0.5000

> Which value of uncorrected energy does entry 1 give?

-6.0479 eV/atom